# PaNi2PdO6

A geometry-optimized PaNi2PdO6 structure (PBE+U, Alexandria).

The structure in POSCAR format:
```
PaNi2PdO6
1.0
4.174 0.000 0.000
0.000 5.950 0.000
0.000 0.000 5.950
Pa Ni Pd O
1 2 1 6
direct
0.689 0.500 0.500
0.814 0.500 0.000
0.814 0.000 0.500
0.728 0.000 0.000
0.743 0.241 0.241
0.743 0.241 0.759
0.200 0.500 0.500
0.230 0.000 0.000
0.743 0.759 0.759
0.743 0.759 0.241
```

Calculated density in Mg/m³: 6.191
Energy in eV/f.u.: -61.890
Volume in Å³ per atom: 14.8